Here is a relaxed Rb2Ag2PbI6 crystal from Alexandria. Energies are from PBE.

The space group is C2/m (No. 12) and the conventional cell measures 15.260, 8.794 and 8.730 Å, with angles of 90.00, 120.14 and 90.00 degrees. The distinct sites, in fractional coordinates, are Rb at (0.240, 0.000, 0.200), Ag at (0.053, 0.500, 0.201), Pb at (0.000, 0.000, 0.500), I at (0.063, 0.247, 0.817) and I at (0.238, 0.000, 0.617).

The value obtained for the total energy is -2.653 eV per atom. The calculation puts the total moment at 0.0 μB per formula unit. Its formation energy from raw total energies is -74.9 kJ per mole of atoms. The density is 4.443 Mg/m³.

=====

Here is a relaxed Sm5DyTm5 crystal from Alexandria. Energies are from PBE.

The space group is P-6m2 (No. 187) and the conventional cell measures 6.0354, 6.0354 and 11.7397 Å, with angles of 90.00, 90.00 and 120.00 degrees. The distinct sites, in fractional coordinates, are Sm at (0.0000, 0.0000, 0.0000), Sm at (0.3333, 0.6667, 0.3154), Sm at (0.6667, 0.3333, 0.1527), Dy at (0.3333, 0.6667, 0.0000), Tm at (0.0000, 0.0000, 0.2660) and Tm at (0.3332, 0.1666, 0.5000).

The value obtained for the total energy is -4.294 eV per atom. Its formation energy is 3.32 eV/f.u. The calculation puts the total moment at 0.0 μB per formula unit. The density is 7.887 Mg/m³.